# 1
# LaY3 | the Alexandria database | SCAN | PBEsol geometry
# - N(E_F): 6.3 states/eV per cell
# - ρ: 5.3 g cm⁻³
# - Formation energy from the elements: 0.05 eV/atom
data_LaY3
_chemical_formula_sum 'La1 Y3'
_cell_length_a 5.015
_cell_length_b 5.015
_cell_length_c 5.015
_cell_angle_alpha 90.00
_cell_angle_beta 90.00
_cell_angle_gamma 90.00
_space_group_name_H-M_alt 'P m -3 m'
_space_group_IT_number 221
_space_group_name_Hall '-P 4 2 3'
loop_
_atom_site_label
_atom_site_type_symbol
_atom_site_fract_x
_atom_site_fract_y
_atom_site_fract_z
La1 La 0.000 0.000 0.000
Y1 Y 0.000 0.500 0.500

***

# 2
# LaY3 | the Alexandria database | SCAN | PBEsol geometry
# - N(E_F): 6.3 states/eV per cell
# - ρ: 5.3 g cm⁻³
# - Formation energy from the elements: 0.03 eV/atom
data_LaY3
_chemical_formula_sum 'La1 Y3'
_cell_length_a 3.613
_cell_length_b 5.696
_cell_length_c 6.182
_cell_angle_alpha 90.00
_cell_angle_beta 90.00
_cell_angle_gamma 90.00
_space_group_name_H-M_alt 'P m m 2'
_space_group_IT_number 25
loop_
_space_group_symop_operation_xyz
'x,y,z'
'-x,-y,z'
'-x,y,z'
'x,-y,z'
loop_
_atom_site_label
_atom_site_type_symbol
_atom_site_fract_x
_atom_site_fract_y
_atom_site_fract_z
La1 La 0.000 0.000 0.000
Y1 Y 0.000 0.500 0.340
Y2 Y 0.500 0.000 0.504
Y3 Y 0.500 0.500 0.840

***

# 3
# LaY3 | the Alexandria database | SCAN | PBEsol geometry
# - N(E_F): 5.7 states/eV per cell
# - ρ: 5.3 g cm⁻³
# - Formation energy from the elements: 0.05 eV/atom
data_LaY3
_chemical_formula_sum 'La1 Y3'
_cell_length_a 3.563
_cell_length_b 4.984
_cell_length_c 7.090
_cell_angle_alpha 90.00
_cell_angle_beta 90.00
_cell_angle_gamma 90.00
_space_group_name_H-M_alt 'P m m m'
_space_group_IT_number 47
loop_
_space_group_symop_operation_xyz
'x,y,z'
'-x,-y,-z'
'-x,-y,z'
'x,y,-z'
'x,-y,-z'
'-x,y,z'
'-x,y,-z'
'x,-y,z'
loop_
_atom_site_label
_atom_site_type_symbol
_atom_site_fract_x
_atom_site_fract_y
_atom_site_fract_z
La1 La 0.000 0.000 0.000
Y1 Y 0.000 0.000 0.500
Y2 Y 0.500 0.500 0.254

***

# 4
# La2Y3 | the Alexandria database | SCAN | PBEsol geometry
# - N(E_F): 17.7 states/eV per cell
# - ρ: 5.7 g cm⁻³
# - Formation energy from the elements: 0.02 eV/atom
data_La2Y3
_chemical_formula_sum 'La6 Y9'
_cell_length_a 3.5711
_cell_length_b 3.5711
_cell_length_c 43.2944
_cell_angle_alpha 90.00
_cell_angle_beta 90.00
_cell_angle_gamma 120.00
_space_group_name_H-M_alt 'R -3 m'
_space_group_IT_number 166
_space_group_name_Hall '-R 3 2"'
loop_
_atom_site_label
_atom_site_type_symbol
_atom_site_fract_x
_atom_site_fract_y
_atom_site_fract_z
La1 La 0.0000 0.0000 0.0998
Y1 Y 0.0000 0.0000 0.3007
Y2 Y 0.0000 0.0000 0.5000

***

# 5
# LaY2 | the Alexandria database | SCAN | PBEsol geometry
# - N(E_F): 19.5 states/eV per cell
# - ρ: 5.5 g cm⁻³
# - Formation energy from the elements: 0.05 eV/atom
data_LaY2
_chemical_formula_sum 'La4 Y8'
_cell_length_a 5.014
_cell_length_b 15.152
_cell_length_c 5.044
_cell_angle_alpha 90.00
_cell_angle_beta 90.00
_cell_angle_gamma 90.00
_space_group_name_H-M_alt 'C m c m'
_space_group_IT_number 63
_space_group_name_Hall '-C 2c 2'
loop_
_atom_site_label
_atom_site_type_symbol
_atom_site_fract_x
_atom_site_fract_y
_atom_site_fract_z
La1 La 0.000 0.082 0.250
Y1 Y 0.000 0.249 0.750
Y2 Y 0.000 0.415 0.250

***

# 6
# LaY3 | the Alexandria database | SCAN | PBEsol geometry
# - N(E_F): 12.9 states/eV per cell
# - ρ: 5.3 g cm⁻³
# - Formation energy from the elements: 0.03 eV/atom
data_LaY3
_chemical_formula_sum 'La2 Y6'
_cell_length_a 5.675
_cell_length_b 7.226
_cell_length_c 6.230
_cell_angle_alpha 90.00
_cell_angle_beta 90.00
_cell_angle_gamma 90.00
_space_group_name_H-M_alt 'P m m n'
_space_group_IT_number 59
loop_
_space_group_symop_operation_xyz
'x,y,z'
'-x,-y,-z'
'-x+1/2,-y+1/2,z'
'x+1/2,y+1/2,-z'
'x+1/2,-y,-z'
'-x+1/2,y,z'
'-x,y+1/2,-z'
'x,-y+1/2,z'
loop_
_atom_site_label
_atom_site_type_symbol
_atom_site_fract_x
_atom_site_fract_y
_atom_site_fract_z
La1 La 0.250 0.250 0.172
Y1 Y 0.250 0.000 0.666
Y2 Y 0.250 0.750 0.166

***

# 7
# La4Y3 | the Alexandria database | SCAN | PBEsol geometry
# - N(E_F): 23.6 states/eV per cell
# - ρ: 6.0 g cm⁻³
# - Formation energy from the elements: 0.04 eV/atom
data_La4Y3
_chemical_formula_sum 'La8 Y6'
_cell_length_a 3.609
_cell_length_b 3.609
_cell_length_c 35.099
_cell_angle_alpha 90.00
_cell_angle_beta 90.00
_cell_angle_gamma 90.00
_space_group_name_H-M_alt 'I 4/m m m'
_space_group_IT_number 139
_space_group_name_Hall '-I 4 2'
loop_
_atom_site_label
_atom_site_type_symbol
_atom_site_fract_x
_atom_site_fract_y
_atom_site_fract_z
La1 La 0.000 0.000 0.072
La2 La 0.000 0.000 0.358
Y1 Y 0.000 0.000 0.216
Y2 Y 0.000 0.000 0.500

***

# 8
# LaY2 | the Alexandria database | SCAN | PBEsol geometry
# - N(E_F): 7.4 states/eV per cell
# - ρ: 5.5 g cm⁻³
# - Formation energy from the elements: 0.04 eV/atom
data_LaY2
_chemical_formula_sum 'La2 Y4'
_cell_length_a 3.563
_cell_length_b 5.044
_cell_length_c 10.613
_cell_angle_alpha 90.00
_cell_angle_beta 90.00
_cell_angle_gamma 90.00
_space_group_name_H-M_alt 'I m m m'
_space_group_IT_number 71
_space_group_name_Hall '-I 2 2'
loop_
_atom_site_label
_atom_site_type_symbol
_atom_site_fract_x
_atom_site_fract_y
_atom_site_fract_z
La1 La 0.000 0.000 0.000
Y1 Y 0.000 0.000 0.332

***

# 9
# LaY4 | the Alexandria database | SCAN | PBEsol geometry
# - N(E_F): 14.4 states/eV per cell
# - ρ: 5.2 g cm⁻³
# - Formation energy from the elements: 0.05 eV/atom
data_LaY4
_chemical_formula_sum 'La2 Y8'
_cell_length_a 7.906
_cell_length_b 7.906
_cell_length_c 5.016
_cell_angle_alpha 90.00
_cell_angle_beta 90.00
_cell_angle_gamma 90.00
_space_group_name_H-M_alt 'I 4/m'
_space_group_IT_number 87
_space_group_name_Hall '-I 4'
loop_
_atom_site_label
_atom_site_type_symbol
_atom_site_fract_x
_atom_site_fract_y
_atom_site_fract_z
La1 La 0.000 0.000 0.000
Y1 Y 0.099 0.699 0.500

***

# 10
# LaY3 | the Alexandria database | SCAN | PBEsol geometry
# - N(E_F): 6.1 states/eV per cell
# - ρ: 5.3 g cm⁻³
# - Formation energy from the elements: 0.05 eV/atom
data_LaY3
_chemical_formula_sum 'La1 Y3'
_cell_length_a 3.556
_cell_length_b 3.556
_cell_length_c 9.973
_cell_angle_alpha 90.00
_cell_angle_beta 90.00
_cell_angle_gamma 90.00
_space_group_name_H-M_alt 'P 4/m m m'
_space_group_IT_number 123
_space_group_name_Hall '-P 4 2'
loop_
_atom_site_label
_atom_site_type_symbol
_atom_site_fract_x
_atom_site_fract_y
_atom_site_fract_z
La1 La 0.000 0.000 0.000
Y1 Y 0.000 0.000 0.500
Y2 Y 0.500 0.500 0.254

***

# 11
# LaY2 | the Alexandria database | SCAN | PBEsol geometry
# - N(E_F): 9.1 states/eV per cell
# - ρ: 5.5 g cm⁻³
# - Formation energy from the elements: 0.05 eV/atom
data_LaY2
_chemical_formula_sum 'La2 Y4'
_cell_length_a 3.571
_cell_length_b 3.571
_cell_length_c 15.041
_cell_angle_alpha 90.00
_cell_angle_beta 90.00
_cell_angle_gamma 90.00
_space_group_name_H-M_alt 'I 4/m m m'
_space_group_IT_number 139
_space_group_name_Hall '-I 4 2'
loop_
_atom_site_label
_atom_site_type_symbol
_atom_site_fract_x
_atom_site_fract_y
_atom_site_fract_z
La1 La 0.000 0.000 0.000
Y1 Y 0.000 0.000 0.332

***

# 12
# LaY3 | the Alexandria database | SCAN | PBEsol geometry
# - N(E_F): 12.6 states/eV per cell
# - ρ: 5.3 g cm⁻³
# - Formation energy from the elements: 0.05 eV/atom
data_LaY3
_chemical_formula_sum 'La2 Y6'
_cell_length_a 5.036
_cell_length_b 5.036
_cell_length_c 9.969
_cell_angle_alpha 90.00
_cell_angle_beta 90.00
_cell_angle_gamma 90.00
_space_group_name_H-M_alt 'I 4/m m m'
_space_group_IT_number 139
_space_group_name_Hall '-I 4 2'
loop_
_atom_site_label
_atom_site_type_symbol
_atom_site_fract_x
_atom_site_fract_y
_atom_site_fract_z
La1 La 0.000 0.000 0.000
Y1 Y 0.000 0.000 0.500
Y2 Y 0.000 0.500 0.250

***

Among the records above, which one has the highest N(E_F)?
La4Y3